A plane-wave DFT calculation with PBE+U was carried out for crystalline Cs3Cr2F7 at its relaxed geometry.

Geometry as POSCAR:
```
Cs3Cr2F7
1.0
2.3820 -11.6776 0.0000
2.3820 11.6776 0.0000
0.0000 0.0000 4.2170
Cs Cr F
3 2 7
Direct
0.0000 0.0000 0.0000
0.1800 0.8200 0.0000
0.8200 0.1800 0.0000
0.4101 0.5899 0.5000
0.5899 0.4101 0.5000
0.0922 0.9078 0.5000
0.3237 0.6763 0.5000
0.4102 0.5898 0.0000
0.5000 0.5000 0.5000
0.5898 0.4102 0.0000
0.6763 0.3237 0.5000
0.9078 0.0922 0.5000
```

- Calculated total energy: -62.56 eV/cell
- Fermi-level density of states: 0.0 states/eV per cell